No. 1
A plane-wave DFT calculation with PBE-GGA was carried out for a relaxed KCaFe2 crystal.

Cell lengths 4.3736, 4.7246, 4.7246 Å; angles 90.00, 90.00, 90.00 degrees
Last column: nearest neighbours and their distance in Å.
Sites, in units of the cell vectors:
Fe  0.0000  0.5000  0.5000  4 K 3.22, 4 Ca 3.22, 4 Fe 3.34
K  0.5000  0.5000  0.0000  8 Fe 3.22, 4 Ca 3.34
Fe  0.0000  0.0000  0.0000  4 K 3.22, 4 Ca 3.22, 4 Fe 3.34
Ca  0.5000  0.0000  0.5000  8 Fe 3.22, 4 K 3.34

Summary:
DFT formation energy   4.57 eV/f.u.
Relative energy among the computed polymorphs   0.610 eV per atom
Theoretical density   3.2 g/cm3
Space-group type   No. 123

=====

No. 2
A plane-wave DFT calculation with PBE-GGA was carried out for a relaxed KCaFe2 crystal.

Cell lengths 5.7181, 5.7181, 3.0845 Å; angles 90.00, 90.00, 109.19 degrees
Last column: nearest neighbours and their distance in Å.
Sites, in units of the cell vectors:
Fe  0.0000  0.0000  0.0000  4 Fe 3.08-3.31, 4 K 3.25, 4 Ca 3.25
Fe  0.5000  0.5000  0.0000  4 Fe 3.08-3.31, 4 Ca 3.25, 4 K 3.25
Ca  0.0000  0.5000  0.5000  2 Ca 3.08, 8 Fe 3.25, 2 K 3.31
K  0.5000  0.0000  0.5000  2 K 3.08, 8 Fe 3.25, 2 Ca 3.31

Summary:
DFT formation energy   4.48 eV/f.u.
Relative energy among the computed polymorphs   0.588 eV per atom
Theoretical density   3.3 g/cm3
Space-group type   No. 65

=====

No. 3
A plane-wave DFT calculation with PBE-GGA was carried out for a relaxed KCaFe2 crystal.

Cell lengths 3.8599, 4.1530, 7.4935 Å; angles 90.00, 90.00, 90.00 degrees
Last column: nearest neighbours and their distance in Å.
Sites, in units of the cell vectors:
Ca  0.5000  0.5000  0.7500  8 Fe 3.03
Fe  0.0000  0.0000  0.8935  1 Fe 2.15
K  0.5000  0.5000  0.2500  2 Ca 3.75, 4 K 3.86-4.15, 8 Fe 3.90
Fe  0.0000  0.0000  0.6065  1 Fe 2.15

Summary:
DFT formation energy   3.23 eV/f.u.
Relative energy among the computed polymorphs   0.275 eV per atom
Theoretical density   2.6 g/cm3
Space-group type   No. 47

=====

No. 4
A plane-wave DFT calculation with PBE-GGA was carried out for a relaxed K4CaFe crystal.

Cell lengths 7.6504, 7.6504, 7.6504 Å; angles 60.00, 60.00, 60.00 degrees
Last column: nearest neighbours and their distance in Å.
Sites, in units of the cell vectors:
K  0.3744  0.3744  0.8769  6 K 3.81-3.85
Ca  0.7500  0.7500  0.7500  12 K 4.49, 4 Fe 4.68
K  0.3744  0.3744  0.3744  6 K 3.81-3.85
K  0.8769  0.3744  0.3744  6 K 3.81-3.85
K  0.3744  0.8769  0.3744  6 K 3.81-3.85
Fe  0.0000  0.0000  0.0000  12 K 4.48, 4 Ca 4.68

Summary:
DFT formation energy   4.74 eV/f.u.
Theoretical density   1.3 g/cm3
Space-group type   No. 216

=====

No. 5
A plane-wave DFT calculation with PBE-GGA was carried out for a relaxed KCaFe2 crystal.

Cell lengths 3.1518, 3.1518, 9.7051 Å; angles 90.00, 90.00, 90.10 degrees
Last column: nearest neighbours and their distance in Å.
Sites, in units of the cell vectors:
Fe  0.0000  0.0000  0.5345  4 Ca 3.06, 4 Fe 3.15
K  0.5000  0.5000  0.2500  4 K 3.15
Ca  0.5000  0.5000  0.7500  8 Fe 3.06, 4 Ca 3.15
Fe  0.0000  0.0000  0.9655  4 Ca 3.06, 4 Fe 3.15

Summary:
DFT formation energy   4.08 eV/f.u.
Relative energy among the computed polymorphs   0.488 eV per atom
Theoretical density   3.3 g/cm3
Space-group type   No. 65

=====

No. 6
A plane-wave DFT calculation with PBE-GGA was carried out for a relaxed KCaFe2 crystal.

Cell lengths 3.3129, 3.3128, 9.3323 Å; angles 90.00, 90.00, 90.00 degrees
Last column: nearest neighbours and their distance in Å.
Sites, in units of the cell vectors:
K  0.0000  0.0000  0.4356  4 K 3.31, 5 Fe 3.45-3.53
Ca  0.5000  0.5000  0.8450  5 Fe 2.88-3.12
Fe  0.0000  0.0000  0.0662  4 Fe 2.48
Fe  0.5000  0.5000  0.1531  4 Fe 2.48

Summary:
DFT formation energy   2.13 eV/f.u.
Relative energy among the computed polymorphs   0.000 eV per atom
Theoretical density   3.1 g/cm3
Space-group type   No. 99

=====

No. 7
A plane-wave DFT calculation with PBE-GGA was carried out for a relaxed KCaFe2 crystal.

Cell lengths 10.6651, 10.6651, 10.6651 Å; angles 17.14, 17.14, 17.14 degrees
Last column: nearest neighbours and their distance in Å.
Sites, in units of the cell vectors:
Fe  0.0078  0.0078  0.0078  3 Ca 3.00, 6 Fe 3.18
K  0.2500  0.2500  0.2500  6 K 3.18, 6 Fe 3.41
Fe  0.4922  0.4922  0.4922  3 Ca 3.00, 6 Fe 3.18
Ca  0.7500  0.7500  0.7500  6 Fe 3.00, 6 Ca 3.18

Summary:
DFT formation energy   4.40 eV/f.u.
Relative energy among the computed polymorphs   0.568 eV per atom
Theoretical density   3.4 g/cm3
Space-group type   No. 166

=====

No. 8
A plane-wave DFT calculation with PBE-GGA was carried out for a relaxed KCaFe3 crystal.

Cell lengths 5.2783, 5.2783, 5.2783 Å; angles 90.00, 90.00, 90.00 degrees
Last column: nearest neighbours and their distance in Å.
Sites, in units of the cell vectors:
K  0.5000  0.5000  0.5000  12 Fe 3.73
Fe  0.5000  0.0000  0.0000  2 Ca 2.64
Ca  0.0000  0.0000  0.0000  6 Fe 2.64
Fe  0.0000  0.5000  0.0000  2 Ca 2.64
Fe  0.0000  0.0000  0.5000  2 Ca 2.64

Summary:
DFT formation energy   8.92 eV/f.u.
Relative energy among the computed polymorphs   0.000 eV per atom
Theoretical density   2.8 g/cm3
Space-group type   No. 221

=====

No. 9
A plane-wave DFT calculation with PBE-GGA was carried out for a relaxed KCaFe2 crystal.

Cell lengths 5.2520, 5.2520, 5.2520 Å; angles 60.00, 60.00, 60.00 degrees
Last column: nearest neighbours and their distance in Å.
Sites, in units of the cell vectors:
Ca  0.5000  0.5000  0.5000  8 Fe 3.22
K  0.0000  0.0000  0.0000  8 Fe 3.22
Fe  0.2500  0.2500  0.2500  4 K 3.22, 4 Ca 3.22
Fe  0.7500  0.7500  0.7500  4 K 3.22, 4 Ca 3.22

Summary:
DFT formation energy   4.74 eV/f.u.
Relative energy among the computed polymorphs   0.653 eV per atom
Theoretical density   3.1 g/cm3
Space-group type   No. 225

=====

No. 10
A plane-wave DFT calculation with PBE-GGA was carried out for a relaxed KCaFe2 crystal.

Cell lengths 4.8361, 4.8361, 10.9594 Å; angles 77.25, 77.25, 90.00 degrees
Last column: nearest neighbours and their distance in Å.
Sites, in units of the cell vectors:
Fe  0.3750  0.1248  0.7500  2 Fe 2.42
K  0.5000  0.5000  0.0000  4 Ca 3.42, 8 Fe 3.75
Fe  0.8752  0.1250  0.2500  2 Fe 2.42
Ca  0.0000  0.0000  0.0000  4 Fe 2.87
Ca  0.7500  0.2500  0.5000  4 Fe 2.87
K  0.2500  0.7500  0.5000  4 Ca 3.42, 8 Fe 3.75
Fe  0.8750  0.1252  0.7500  2 Fe 2.42
Fe  0.8748  0.6250  0.2500  2 Fe 2.42

Summary:
DFT formation energy   4.48 eV/f.u.
Relative energy among the computed polymorphs   0.588 eV per atom
Theoretical density   2.6 g/cm3
Space-group type   No. 141

=====

No. 11
A plane-wave DFT calculation with PBE-GGA was carried out for a relaxed KCaFe2 crystal.

Cell lengths 5.1154, 3.0640, 7.4673 Å; angles 79.16, 90.00, 90.00 degrees
Last column: nearest neighbours and their distance in Å.
Sites, in units of the cell vectors:
Fe  0.0000  0.5222  0.6297  2 Fe 2.21-2.47
Fe  0.0000  0.9778  0.8703  2 Fe 2.21-2.47
K  0.5000  0.2500  0.2500  2 K 3.06
Ca  0.5000  0.7500  0.7500  4 Fe 2.84, 2 Ca 3.06

Summary:
DFT formation energy   3.07 eV/f.u.
Relative energy among the computed polymorphs   0.236 eV per atom
Theoretical density   2.8 g/cm3
Space-group type   No. 10

=====

No. 12
A plane-wave DFT calculation with PBE-GGA was carried out for a relaxed KCaFe2 crystal.

Cell lengths 4.9841, 4.9841, 4.9841 Å; angles 60.00, 60.00, 60.00 degrees
Last column: nearest neighbours and their distance in Å.
Sites, in units of the cell vectors:
Fe  0.0000  0.0000  0.0000  4 Fe 3.05, 4 K 3.05
Fe  0.2500  0.2500  0.2500  4 Ca 3.05, 4 Fe 3.05
K  0.7500  0.7500  0.7500  4 Fe 3.05, 4 Ca 3.05
Ca  0.5000  0.5000  0.5000  4 K 3.05, 4 Fe 3.05

Summary:
DFT formation energy   4.17 eV/f.u.
Relative energy among the computed polymorphs   0.512 eV per atom
Theoretical density   3.6 g/cm3
Space-group type   No. 216

=====

No. 13
A plane-wave DFT calculation with PBE-GGA was carried out for a relaxed KCaFe2 crystal.

Cell lengths 5.4569, 5.4569, 7.6684 Å; angles 73.43, 73.43, 33.64 degrees
Last column: nearest neighbours and their distance in Å.
Sites, in units of the cell vectors:
Fe  0.0090  0.0090  0.1377  2 Fe 2.30
Fe  0.4910  0.4910  0.3623  2 Fe 2.30
K  0.7500  0.7500  0.7500  2 K 3.16
Ca  0.2500  0.2500  0.2500  6 Fe 2.89-3.03, 2 Ca 3.16

Summary:
DFT formation energy   3.03 eV/f.u.
Relative energy among the computed polymorphs   0.225 eV per atom
Theoretical density   2.6 g/cm3
Space-group type   No. 12